1.
NaGaAsBr2 | PBE | relaxed

Structure (POSCAR):
```
NaGaAsBr2
1.0
-4.5826 -1.7826 2.5853
2.7942 -0.2274 4.7961
-1.2912 4.7359 0.9768
Na As Ga Br
1 1 1 2
direct
0.5000 0.5000 0.5000
0.0000 0.0000 0.5000
0.0000 0.0000 0.0000
0.0000 0.5000 0.0000
0.5000 0.0000 0.0000
```

Calculated values
SG: No. 123
distance to the lowest polymorph of the same formula: 0.0 meV per atom
total magnetic moment: 1.635 μB per formula unit
raw formation energy: -345 meV/atom

2.
MgFe2Hg | PBE | relaxed

Structure (POSCAR):
```
MgFe2Hg
1.0
5.0328 0.0031 -0.0069
3.5959 3.5212 -0.0069
1.4813 0.6050 3.5077
Fe Hg Mg
2 1 1
direct
0.9999 0.9999 0.0001
0.5001 0.5001 0.4999
0.7500 0.7500 0.7500
0.2500 0.2500 0.2500
```

Calculated values
SG: No. 71
calculated formation energy: 1.0 eV per formula unit
total magnetic moment: 5.092 μB per formula unit

3.
Pu3Pt3Au2 | PBE | relaxed

Structure (POSCAR):
```
Pu3Pt3Au2
1.0
-3.4343 1.8811 4.0728
-5.6173 2.5993 -5.9371
-0.5260 -7.9319 3.2199
Pu Pt Au
6 6 4
direct
0.7500 0.2989 0.0000
0.7500 0.7011 0.7011
0.7500 0.0000 0.2989
0.2500 0.7011 0.0000
0.2500 0.2989 0.2989
0.2500 0.0000 0.7011
0.7500 0.6367 0.0000
0.7500 0.3633 0.3633
0.7500 0.0000 0.6367
0.2500 0.3633 0.0000
0.2500 0.6367 0.6367
0.2500 0.0000 0.3633
0.0000 0.3333 0.6667
0.5000 0.6667 0.3333
0.0000 0.6667 0.3333
0.5000 0.3333 0.6667
```

Calculated values
SG: No. 193
calculated formation energy: -4.4 eV per formula unit
total magnetic moment: 15.826 μB per formula unit

4.
Rb3BeI6 | PBE | relaxed

Structure (POSCAR):
```
Rb3BeI6
1.0
7.2753 0.0000 0.0000
0.0000 12.0823 -2.6497
0.0000 -0.6888 12.3502
Rb Be I
6 2 12
direct
0.4743 0.9324 0.7235
0.9743 0.7235 0.9324
0.4346 0.3964 0.6036
0.9346 0.6036 0.3964
0.9743 0.0676 0.2765
0.4743 0.2765 0.0676
0.9973 0.2475 0.7525
0.4973 0.7525 0.2475
0.2060 0.6706 0.6606
0.7060 0.6606 0.6706
0.1493 0.3953 0.8742
0.6493 0.8742 0.3953
0.2101 0.0052 0.9948
0.6842 0.2282 0.7718
0.1842 0.7718 0.2282
0.7101 0.9948 0.0052
0.1493 0.1258 0.6047
0.6493 0.6047 0.1258
0.2060 0.3394 0.3294
0.7060 0.3294 0.3394
```

Calculated values
SG: No. 36
distance to the lowest polymorph of the same formula: 0.0 meV per atom
total magnetic moment: 0.083 μB per formula unit
raw formation energy: -1009 meV/atom